Entry 1:
Entry from Alexandria via LeMat-Bulk: a crystal of OsRhCl2 relaxed with PBEsol (meta-GGA SCAN).

Values from the calculation:
Energy relative to the elements, uncorrected in eV per atom: 0.84

Cell: 2.827 4.248 5.886 Å, 111.15 103.90 90.00°
Positions (direct):
1 Cl 0.999 0.999 0.999
2 Cl 0.205 0.705 0.410
3 Os 0.497 0.497 0.994
4 Rh 0.799 0.299 0.597


Entry 2:
Entry from Alexandria via LeMat-Bulk: a crystal of Os3RhCl relaxed with PBEsol (meta-GGA SCAN).

Values from the calculation:
Energy relative to the elements, uncorrected in eV per atom: 2.12

Cell: 4.258 4.258 4.258 Å, 90.00 90.00 90.00°
Positions (direct):
1 Os 0.000 0.500 0.000
2 Os 0.000 0.000 0.500
3 Os 0.500 0.000 0.000
4 Rh 0.500 0.500 0.500
5 Cl 0.000 0.000 0.000


Entry 3:
Entry from Alexandria via LeMat-Bulk: a crystal of OsRhCl2 relaxed with PBEsol (meta-GGA SCAN).

Values from the calculation:
Energy relative to the elements, uncorrected in eV per atom: 1.12

Cell: 4.403 4.403 4.403 Å, 60.00 60.00 60.00°
Site moments in Bohr magnetons follow the coordinates.
Positions (direct):
1 Os 0.500 0.500 0.500  0.58
2 Rh 0.750 0.750 0.750  0.14
3 Cl 0.250 0.250 0.250  0.01
4 Cl 0.000 0.000 0.000  0.08


Entry 4:
Entry from Alexandria via LeMat-Bulk: a crystal of OsRhCl2 relaxed with PBEsol (meta-GGA SCAN).

Values from the calculation:
Energy relative to the elements, uncorrected in eV per atom: 0.51

Cell: 2.850 4.511 6.641 Å, 109.85 102.39 90.00°
Site moments in Bohr magnetons follow the coordinates.
Positions (direct):
1 Os 0.000 0.500 0.000  0.21
2 Rh 0.500 0.000 0.000  0.82
3 Cl 0.655 0.655 0.309  0.02
4 Cl 0.345 0.345 0.691  0.02


Entry 5:
Entry from Alexandria via LeMat-Bulk: a crystal of OsRhCl2 relaxed with PBEsol (meta-GGA SCAN).

Values from the calculation:
Energy relative to the elements, uncorrected in eV per atom: 0.26

Cell: 2.906 2.906 8.005 Å, 90.00 90.00 90.00°
Positions (direct):
1 Cl 0.000 0.000 0.932
2 Cl 0.500 0.500 0.317
3 Rh 0.500 0.500 0.723
4 Os 0.000 0.000 0.527


Entry 6:
Entry from Alexandria via LeMat-Bulk: a crystal of OsRuCl4 relaxed with PBEsol (meta-GGA SCAN).

Values from the calculation:
Energy relative to the elements, uncorrected in eV per atom: 1.92

Cell: 5.396 5.396 5.396 Å, 60.00 60.00 60.00°
Site moments in Bohr magnetons follow the coordinates.
Positions (direct):
1 Cl 0.875 0.375 0.375  -0.28
2 Cl 0.375 0.375 0.875  -0.28
3 Cl 0.375 0.375 0.375  -0.28
4 Cl 0.375 0.875 0.375  -0.28
5 Ru 0.000 0.000 0.000  2.79
6 Os 0.750 0.750 0.750  2.74


Entry 7:
Entry from Alexandria via LeMat-Bulk: a crystal of OsRuCl2 relaxed with PBEsol (meta-GGA SCAN).

Values from the calculation:
Energy relative to the elements, uncorrected in eV per atom: 1.21

Cell: 4.384 4.384 4.384 Å, 60.00 60.00 60.00°
Site moments in Bohr magnetons follow the coordinates.
Positions (direct):
1 Ru 0.250 0.250 0.250  0.57
2 Cl 0.750 0.750 0.750  0.05
3 Cl 0.000 0.000 0.000  0.11
4 Os 0.500 0.500 0.500  0.88


Entry 8:
Entry from Alexandria via LeMat-Bulk: a crystal of OsRuS2Cl relaxed with PBEsol (meta-GGA SCAN).

Values from the calculation:
Energy relative to the elements, uncorrected in eV per atom: 1.29

Cell: 4.490 4.490 4.601 Å, 90.00 90.00 90.00°
Site moments in Bohr magnetons follow the coordinates.
Positions (direct):
1 S 0.000 0.500 0.000  0.03
2 S 0.500 0.000 0.000  0.03
3 Os 0.500 0.500 0.500  2.86
4 Ru 0.000 0.000 0.000  -0.46
5 Cl 0.000 0.000 0.500  0.09


Entry 9:
Entry from Alexandria via LeMat-Bulk: a crystal of OsRuSCl2 relaxed with PBEsol (meta-GGA SCAN).

Values from the calculation:
Energy relative to the elements, uncorrected in eV per atom: 0.88

Cell: 4.373 4.805 4.805 Å, 90.00 90.00 90.00°
Site moments in Bohr magnetons follow the coordinates.
Positions (direct):
1 Ru 0.500 0.500 0.500  2.75
2 Cl 0.000 0.000 0.500  0.04
3 Cl 0.000 0.500 0.000  0.04
4 Os 0.000 0.000 0.000  -0.04
5 S 0.500 0.000 0.000  0.01


Entry 10:
Entry from Alexandria via LeMat-Bulk: a crystal of OsSCl3 relaxed with PBEsol (meta-GGA SCAN).

Values from the calculation:
Energy relative to the elements, uncorrected in eV per atom: 0.60

Cell: 4.661 4.661 4.661 Å, 90.00 90.00 90.00°
Site moments in Bohr magnetons follow the coordinates.
Positions (direct):
1 Cl 0.000 0.500 0.000  0.04
2 Cl 0.000 0.000 0.500  0.04
3 Cl 0.500 0.000 0.000  0.04
4 Os 0.000 0.000 0.000  -0.85
5 S 0.500 0.500 0.500  1.09


Entry 11:
Entry from Alexandria via LeMat-Bulk: a crystal of OsS2Cl12 relaxed with PBEsol (meta-GGA SCAN).

Values from the calculation:
Energy relative to the elements, uncorrected in eV per atom: -0.31

Cell: 7.710 7.710 7.710 Å, 87.89 87.89 87.89°
Site moments in Bohr magnetons follow the coordinates.
Positions (direct):
1 Cl 0.771 0.771 0.477  0.00
2 Cl 0.200 0.897 0.200  0.06
3 Cl 0.897 0.200 0.200  0.06
4 Cl 0.229 0.229 0.523  0.00
5 Cl 0.523 0.229 0.229  0.00
6 Cl 0.200 0.200 0.897  0.06
7 Cl 0.229 0.523 0.229  0.00
8 Cl 0.477 0.771 0.771  0.00
9 Cl 0.103 0.800 0.800  0.06
10 Cl 0.771 0.477 0.771  0.00
11 Cl 0.800 0.103 0.800  0.06
12 Cl 0.800 0.800 0.103  0.06
13 S 0.260 0.260 0.260  0.00
14 S 0.740 0.740 0.740  0.00
15 Os 0.000 0.000 0.000  1.35


Entry 12:
Entry from Alexandria via LeMat-Bulk: a crystal of ScOsSCl2 relaxed with PBEsol (meta-GGA SCAN).

Values from the calculation:
Energy relative to the elements, uncorrected in eV per atom: -0.02

Cell: 4.785 4.785 5.001 Å, 90.00 90.00 90.00°
Site moments in Bohr magnetons follow the coordinates.
Positions (direct):
1 Sc 0.000 0.000 0.000  0.03
2 Os 0.500 0.500 0.500  3.11
3 Cl 0.500 0.000 0.000  0.04
4 Cl 0.000 0.500 0.000  0.04
5 S 0.000 0.000 0.500  0.01


Entry 13:
Entry from Alexandria via LeMat-Bulk: a crystal of OsSeSCl2 relaxed with PBEsol (meta-GGA SCAN).

Values from the calculation:
Energy relative to the elements, uncorrected in eV per atom: 1.42

Cell: 4.954 4.768 4.768 Å, 90.00 90.00 90.00°
Site moments in Bohr magnetons follow the coordinates.
Positions (direct):
1 Cl 0.000 0.000 0.500  0.05
2 Cl 0.000 0.500 0.000  0.05
3 S 0.500 0.000 0.000  0.08
4 Os 0.500 0.500 0.500  3.21
5 Se 0.000 0.000 0.000  -0.02


Entry 14:
Entry from Alexandria via LeMat-Bulk: a crystal of OsSeS2Cl relaxed with PBEsol (meta-GGA SCAN).

Values from the calculation:
Energy relative to the elements, uncorrected in eV per atom: 0.57

Cell: 4.526 4.526 4.690 Å, 90.00 90.00 90.00°
Positions (direct):
1 S 0.000 0.500 0.000
2 S 0.500 0.000 0.000
3 Os 0.000 0.000 0.000
4 Se 0.500 0.500 0.500
5 Cl 0.000 0.000 0.500


Entry 15:
Entry from Alexandria via LeMat-Bulk: a crystal of TiOsSCl2 relaxed with PBEsol (meta-GGA SCAN).

Values from the calculation:
Energy relative to the elements, uncorrected in eV per atom: 0.35

Cell: 4.587 4.587 4.777 Å, 90.00 90.00 90.00°
Site moments in Bohr magnetons follow the coordinates.
Positions (direct):
1 Cl 0.500 0.000 0.000  0.04
2 Cl 0.000 0.500 0.000  0.04
3 S 0.000 0.000 0.500  -0.05
4 Ti 0.000 0.000 0.000  0.69
5 Os 0.500 0.500 0.500  2.83


Entry 16:
Entry from Alexandria via LeMat-Bulk: a crystal of TiOsS2Cl relaxed with PBEsol (meta-GGA SCAN).

Values from the calculation:
Energy relative to the elements, uncorrected in eV per atom: 0.48

Cell: 4.502 4.649 4.649 Å, 90.00 90.00 90.00°
Site moments in Bohr magnetons follow the coordinates.
Positions (direct):
1 S 0.000 0.500 0.000  0.02
2 S 0.000 0.000 0.500  0.02
3 Ti 0.000 0.000 0.000  0.14
4 Cl 0.500 0.000 0.000  0.06
5 Os 0.500 0.500 0.500  2.79


Entry 17:
Entry from Alexandria via LeMat-Bulk: a crystal of OsWSCl2 relaxed with PBEsol (meta-GGA SCAN).

Values from the calculation:
Energy relative to the elements, uncorrected in eV per atom: 1.41

Cell: 4.466 4.748 4.748 Å, 90.00 90.00 90.00°
Site moments in Bohr magnetons follow the coordinates.
Positions (direct):
1 Os 0.000 0.000 0.000  -0.10
2 W 0.500 0.500 0.500  3.46
3 S 0.500 0.000 0.000  -0.11
4 Cl 0.000 0.500 0.000  0.02
5 Cl 0.000 0.000 0.500  0.02


Entry 18:
Entry from Alexandria via LeMat-Bulk: a crystal of SbOs2Cl relaxed with PBEsol (meta-GGA SCAN).

Values from the calculation:
Energy relative to the elements, uncorrected in eV per atom: 1.22

Cell: 4.475 4.475 4.475 Å, 60.00 60.00 60.00°
Positions (direct):
1 Sb 0.500 0.500 0.500
2 Cl 0.000 0.000 0.000
3 Os 0.250 0.250 0.250
4 Os 0.750 0.750 0.750


Entry 19:
Entry from Alexandria via LeMat-Bulk: a crystal of ScOsCl3 relaxed with PBEsol (meta-GGA SCAN).

Values from the calculation:
Energy relative to the elements, uncorrected in eV per atom: 0.09

Cell: 4.697 4.697 4.697 Å, 90.00 90.00 90.00°
Site moments in Bohr magnetons follow the coordinates.
Positions (direct):
1 Cl 0.000 0.500 0.000  -0.01
2 Cl 0.500 0.000 0.000  -0.01
3 Cl 0.000 0.000 0.500  -0.01
4 Os 0.000 0.000 0.000  -0.48
5 Sc 0.500 0.500 0.500  1.05


Entry 20:
Entry from Alexandria via LeMat-Bulk: a crystal of ScOs3Cl relaxed with PBEsol (meta-GGA SCAN).

Values from the calculation:
Energy relative to the elements, uncorrected in eV per atom: 2.76

Cell: 4.704 4.704 4.704 Å, 90.00 90.00 90.00°
Site moments in Bohr magnetons follow the coordinates.
Positions (direct):
1 Os 0.000 0.500 0.000  0.94
2 Os 0.500 0.000 0.000  0.94
3 Os 0.000 0.000 0.500  0.94
4 Cl 0.500 0.500 0.500  0.31
5 Sc 0.000 0.000 0.000  -0.14


Entry 21:
Entry from Alexandria via LeMat-Bulk: a crystal of SiOs4Cl relaxed with PBEsol (meta-GGA SCAN).

Values from the calculation:
Energy relative to the elements, uncorrected in eV per atom: 1.57

Cell: 5.164 5.164 5.164 Å, 60.00 60.00 60.00°
Site moments in Bohr magnetons follow the coordinates.
Positions (direct):
1 Os 0.624 0.127 0.624  0.73
2 Os 0.127 0.624 0.624  0.73
3 Os 0.624 0.624 0.127  0.73
4 Os 0.624 0.624 0.624  0.73
5 Cl 0.000 0.000 0.000  0.29
6 Si 0.250 0.250 0.250  -0.01


Entry 22:
Entry from Alexandria via LeMat-Bulk: a crystal of Sn3OsCl relaxed with PBEsol (meta-GGA SCAN).

Values from the calculation:
Energy relative to the elements, uncorrected in eV per atom: 1.57

Cell: 5.045 5.045 5.045 Å, 90.00 90.00 90.00°
Site moments in Bohr magnetons follow the coordinates.
Positions (direct):
1 Cl 0.000 0.000 0.000  0.00
2 Os 0.500 0.500 0.500  1.95
3 Sn 0.000 0.000 0.500  0.00
4 Sn 0.500 0.000 0.000  0.00
5 Sn 0.000 0.500 0.000  0.00


Entry 23:
Entry from Alexandria via LeMat-Bulk: a crystal of SrOsCl2 relaxed with PBEsol (meta-GGA SCAN).

Values from the calculation:
Energy relative to the elements, uncorrected in eV per atom: -0.02

Cell: 3.863 3.863 6.308 Å, 107.83 107.83 90.00°
Site moments in Bohr magnetons follow the coordinates.
Positions (direct):
1 Cl 0.750 0.250 0.500  0.03
2 Cl 0.000 0.000 0.000  -0.01
3 Sr 0.250 0.750 0.500  -0.01
4 Os 0.500 0.500 0.000  1.57


Entry 24:
Entry from Alexandria via LeMat-Bulk: a crystal of SrOsCl2 relaxed with PBEsol (meta-GGA SCAN).

Values from the calculation:
Energy relative to the elements, uncorrected in eV per atom: 0.06

Cell: 3.390 4.640 4.640 Å, 90.00 90.00 90.00°
Positions (direct):
1 Os 0.500 0.500 0.500
2 Sr 0.500 0.000 0.000
3 Cl 0.000 0.500 0.000
4 Cl 0.000 0.000 0.500


Entry 25:
Entry from Alexandria via LeMat-Bulk: a crystal of Sr2OsCl2 relaxed with PBEsol (meta-GGA SCAN).

Values from the calculation:
Energy relative to the elements, uncorrected in eV per atom: -0.61

Cell: 4.383 4.383 7.928 Å, 106.05 106.05 90.00°
Site moments in Bohr magnetons follow the coordinates.
Positions (direct):
1 Sr 0.376 0.376 0.753  -0.02
2 Sr 0.624 0.624 0.247  -0.02
3 Os 0.000 0.000 0.000  1.78
4 Cl 0.750 0.250 0.500  0.00
5 Cl 0.250 0.750 0.500  0.00


Entry 26:
Entry from Alexandria via LeMat-Bulk: a crystal of TaOsCl2 relaxed with PBEsol (meta-GGA SCAN).

Values from the calculation:
Energy relative to the elements, uncorrected in eV per atom: 0.27

Cell: 2.974 2.974 8.338 Å, 79.73 79.73 60.00°
Positions (direct):
1 Os 0.000 0.000 0.000
2 Cl 0.092 0.092 0.723
3 Cl 0.908 0.908 0.277
4 Ta 0.500 0.500 0.500


Entry 27:
Entry from Alexandria via LeMat-Bulk: a crystal of TaOsCl2 relaxed with PBEsol (meta-GGA SCAN).

Values from the calculation:
Energy relative to the elements, uncorrected in eV per atom: 1.34

Cell: 3.086 4.346 4.346 Å, 90.08 90.00 90.00°
Positions (direct):
1 Cl 0.000 0.000 0.500
2 Cl 0.000 0.500 0.000
3 Os 0.500 0.000 0.000
4 Ta 0.500 0.500 0.500


Entry 28:
Entry from Alexandria via LeMat-Bulk: a crystal of TaOs2Cl relaxed with PBEsol (meta-GGA SCAN).

Values from the calculation:
Energy relative to the elements, uncorrected in eV per atom: 0.23

Cell: 2.808 2.808 8.661 Å, 90.00 90.00 90.00°
Site moments in Bohr magnetons follow the coordinates.
Positions (direct):
1 Cl 0.500 0.500 0.684  0.01
2 Os 0.000 0.000 0.064  0.51
3 Os 0.500 0.500 0.257  0.09
4 Ta 0.000 0.000 0.495  0.02


Entry 29:
Entry from Alexandria via LeMat-Bulk: a crystal of TaOs2Cl relaxed with PBEsol (meta-GGA SCAN).

Values from the calculation:
Energy relative to the elements, uncorrected in eV per atom: 0.51

Cell: 2.871 4.126 5.172 Å, 90.00 104.51 90.00°
Positions (direct):
1 Cl 0.500 0.500 0.500
2 Ta 0.500 0.500 0.000
3 Os 0.857 0.000 0.735
4 Os 0.143 0.000 0.265